Entry from Alexandria: crystalline K2LaTa5O15 at its relaxed geometry (PBE).

Summary:
Formation energy (no corrections)   -2918 meV per atom
Crystal system   tetragonal

Geometry as CIF:
```
data_K2LaTa5O15
_space_group_name_H-M_alt 'P 4/m b m'
_space_group_IT_number 127
_space_group_name_Hall '-P 4 2ab'
_cell_length_a 12.726
_cell_length_b 12.726
_cell_length_c 3.955
_cell_angle_alpha 90.00
_cell_angle_beta 90.00
_cell_angle_gamma 90.00
loop_
_atom_site_label
_atom_site_type_symbol
_atom_site_fract_x
_atom_site_fract_y
_atom_site_fract_z
K1 K 0.170 0.330 0.000
La1 La 0.000 0.000 0.000
Ta1 Ta 0.000 0.500 0.500
Ta2 Ta 0.076 0.786 0.500
O1 O 0.000 0.500 0.000
O2 O 0.001 0.343 0.500
O3 O 0.061 0.133 0.500
O4 O 0.077 0.806 0.000
O5 O 0.215 0.715 0.500
```

=====

Entry from Alexandria: crystalline Y2AsRh2 at its relaxed geometry (PBE).

Summary:
Energy of formation   -0.779 eV/atom
Crystal system   tetragonal

Geometry as CIF:
```
data_Y2AsRh2
_space_group_name_H-M_alt 'P 4/m b m'
_space_group_IT_number 127
_space_group_name_Hall '-P 4 2ab'
_cell_length_a 7.101
_cell_length_b 7.101
_cell_length_c 4.009
_cell_angle_alpha 90.00
_cell_angle_beta 90.00
_cell_angle_gamma 90.00
loop_
_atom_site_label
_atom_site_type_symbol
_atom_site_fract_x
_atom_site_fract_y
_atom_site_fract_z
Y1 Y 0.176 0.324 0.000
As1 As 0.000 0.000 0.500
Rh1 Rh 0.135 0.635 0.500
```

=====

Entry from Alexandria: crystalline Sc4CdAgPd2 at its relaxed geometry (PBE).

Summary:
Energy of formation   -0.561 eV/atom
Crystal system   trigonal

Geometry as CIF:
```
data_Sc4CdAgPd2
_space_group_name_H-M_alt 'R -3 m'
_space_group_IT_number 166
_space_group_name_Hall '-R 3 2"'
_cell_length_a 4.7944
_cell_length_b 4.7944
_cell_length_c 23.5842
_cell_angle_alpha 90.00
_cell_angle_beta 90.00
_cell_angle_gamma 120.00
loop_
_atom_site_label
_atom_site_type_symbol
_atom_site_fract_x
_atom_site_fract_y
_atom_site_fract_z
Sc1 Sc 0.0000 0.0000 0.1225
Sc2 Sc 0.0000 0.0000 0.3730
Cd1 Cd 0.0000 0.0000 0.5000
Ag1 Ag 0.0000 0.0000 0.0000
Pd1 Pd 0.0000 0.0000 0.2469
```